(1)
Nd2Sm2Dy2Ho (PBE, relaxed); DOS at the Fermi energy = 16.70 states/eV per cell; space-group type = R-3m; calculated volume = 234 Å³/cell; calculated total energy = -4.545 eV per atom
1.0
5.7279 0.0000 0.0000
2.8640 4.9605 0.0000
2.8640 1.6535 8.2228
Sm Dy Ho Nd
2 2 1 2
Direct
0.7152 0.7152 0.8543
0.2848 0.2848 0.1457
0.5722 0.5722 0.2834
0.4278 0.4278 0.7166
0.0000 0.0000 0.0000
0.8612 0.8612 0.4163
0.1388 0.1388 0.5837

(2)
Re4SiRh (PBE, relaxed); DOS at the Fermi energy = 6.99 states/eV per cell; space-group type = F-43m; calculated volume = 96 Å³/cell; E_form (uncorrected) = 682 meV per atom
1.0
0.0000 3.6310 3.6310
3.6310 0.0000 3.6310
3.6310 3.6310 0.0000
Si Re Rh
1 4 1
Direct
0.0000 0.0000 0.0000
0.3756 0.8733 0.3756
0.8733 0.3756 0.3756
0.3756 0.3756 0.3756
0.3756 0.3756 0.8733
0.7500 0.7500 0.7500

(3)
PmNdTm6 (PBE, relaxed); DOS at the Fermi energy = 11.92 states/eV per cell; energy relative to the lowest polymorph listed for this composition = 345 meV/atom; space-group type = C2/m; calculated volume = 277 Å³/cell
1.0
5.6672 -0.2551 -2.1748
-2.4484 5.5555 -0.2305
-0.9818 0.6093 9.2253
Tm Nd Pm
6 1 1
Direct
0.3595 0.4570 0.2988
0.6405 0.5430 0.7012
0.1582 0.0607 0.7012
0.2981 0.6239 0.9220
0.7019 0.3761 0.0780
0.8418 0.9393 0.2988
0.0000 0.0000 0.0000
0.5000 0.0000 0.5000